1.
This record from the Alexandria database describes a relaxed AlCu2W crystal. The functional is PBE.

Results
Formation energy from the elements   0.13 eV/atom
Space-group type   Pm

Structure (POSCAR):
```
AlCu2W
1.0
-1.800 -3.598 -0.382
2.235 -1.204 0.807
-0.481 -0.321 5.283
Cu W Al
2 1 1
direct
0.000 0.806 0.013
0.500 0.197 0.227
0.000 0.558 0.511
0.500 0.939 0.749
```


2.
This record from the Alexandria database describes a relaxed Al4ReAs crystal. The functional is PBE.

Results
Formation energy from the elements   0.27 eV/atom
Space-group type   F-43m

Structure (POSCAR):
```
Al4ReAs
1.0
-2.784 0.306 4.271
-4.728 -1.928 0.110
-0.978 -4.212 2.719
Al Re As
4 1 1
direct
0.877 0.374 0.374
0.374 0.374 0.877
0.374 0.877 0.374
0.374 0.374 0.374
0.000 0.000 0.000
0.750 0.750 0.750
```


3.
This record from the Alexandria database describes a relaxed Ca9As3N2 crystal. The functional is PBE.

Results
Space-group type   P-3m1
Energy relative to the elements, uncorrected   -914 meV per atom

Structure (POSCAR):
```
Ca9As3N2
1.0
-6.602 0.744 1.405
3.625 -4.793 3.162
1.892 5.406 6.024
Ca As N
9 3 2
direct
0.171 0.829 0.673
0.171 0.342 0.673
0.500 0.500 0.000
0.829 0.658 0.327
0.342 0.171 0.327
0.658 0.829 0.673
0.829 0.171 0.327
0.000 0.500 0.000
0.500 0.000 0.000
0.667 0.333 0.665
0.000 0.000 0.000
0.333 0.667 0.335
0.667 0.333 0.169
0.333 0.667 0.831
```


4.
This record from the Alexandria database describes a relaxed Nd2TmTi crystal. The functional is PBE.

Results
Formation energy from the elements   0.23 eV/atom
Space-group type   P4/mmm
Energy above the most stable polymorph in this dataset   0.000 eV per atom

Structure (POSCAR):
```
Nd2TmTi
1.0
-3.285 1.873 -1.072
-0.022 -1.981 -3.395
-4.075 -5.345 3.145
Tm Nd Ti
1 2 1
direct
0.500 0.500 0.500
0.000 0.000 0.781
0.000 0.000 0.219
0.500 0.500 0.000
```


5.
This record from the Alexandria database describes a relaxed TaVPd4 crystal. The functional is PBE.

Results
Formation energy from the elements   -0.36 eV/atom
Space-group type   C2/m
Energy above the most stable polymorph in this dataset   0.000 eV per atom

Structure (POSCAR):
```
TaVPd4
1.0
4.723 0.027 0.683
1.111 4.039 2.296
0.033 0.066 4.837
Ta V Pd
1 1 4
direct
0.500 0.500 0.000
0.000 0.000 0.000
0.000 0.336 0.329
0.500 0.163 0.674
0.000 0.664 0.671
0.500 0.837 0.326
```


6.
This record from the Alexandria database describes a relaxed KCd2GeB crystal. The functional is PBE.

Results
Formation energy from the elements   0.64 eV/atom
Space-group type   P4/mmm

Structure (POSCAR):
```
KCd2GeB
1.0
5.971 0.000 0.000
0.000 3.797 0.000
0.000 0.000 5.971
Ge B K Cd
1 1 1 2
direct
0.000 0.000 0.000
0.000 0.500 0.000
0.500 0.500 0.500
0.000 0.000 0.500
0.500 0.000 0.000
```


Number 1: N(E_F) 1.892 states/eV/cell. Number 2: N(E_F) 2.972 states/eV/cell. Number 3: N(E_F) 2.615 states/eV/cell. Number 4: N(E_F) 5.339 states/eV/cell. Number 5: N(E_F) 5.348 states/eV/cell. Number 6: N(E_F) 2.131 states/eV/cell.